This record from the Alexandria database describes a relaxed TcOsSe2 crystal. The functional is PBE.

a = 2.9696 Å, b = 5.3916 Å, c = 8.3146 Å
α = 90.00°, β = 90.00°, γ = 90.00°
With the nearest neighbours (Å) after each atom.
Space group Immm (No. 71)
Symmetry-distinct sites (fractional):
Tc: 0.0000 0.0000 0.0000 x2  4 Se 2.58
Os: 0.0000 0.0000 0.5000 x2  4 Se 2.53
Se: 0.0000 0.5000 0.2468 x4  2 Os 2.53, 2 Tc 2.58

The volume comes out at 16.6 Å³ per atom. The value obtained for the density of states at the Fermi level is 5.281 states/eV/f.u. As for the final energy: -0.2302 hartree per atom. As for the distance to the lowest polymorph of the same formula: 813 meV/atom. The calculation puts the raw formation energy at 877.3 meV/atom.

***

This record from the Alexandria database describes a relaxed TcOs2Se crystal. The functional is PBE.

a = 3.9058 Å, b = 3.9058 Å, c = 3.9661 Å
α = 90.00°, β = 90.00°, γ = 90.00°
With the nearest neighbours (Å) after each atom.
Space group P4/mmm (No. 123)
Symmetry-distinct sites (fractional):
Tc: 0.0000 0.0000 0.0000 x1  4 Se 2.76, 8 Os 2.78
Os: 0.0000 0.5000 0.5000 x2  4 Os 2.76, 4 Se 2.78, 4 Tc 2.78
Se: 0.5000 0.5000 0.0000 x1  4 Tc 2.76, 8 Os 2.78

The volume comes out at 15.1 Å³ per atom. The value obtained for the density of states at the Fermi level is 5.880 states/eV/f.u. As for the final energy: -0.3002 hartree per atom. The calculation puts the raw formation energy at 908.7 meV/atom.

***

Question: Which formula does entry 2 have?
Answer: TcOs2Se